(1)
# BeSi2Tc2

A relaxed BeSi2Tc2 crystal (PBE, the Open Quantum Materials Database).

Cell and atoms, written as extended XYZ:
```
10
Lattice="6.475 0.000 0.000 0.000 6.475 0.000 0.000 0.000 3.194" Properties=species:S:1:pos:R:3 pbc="T T T"
Be 0.000 0.000 0.000
Be 3.237 3.237 0.000
Si 0.926 2.311 1.597
Si 2.311 5.549 1.597
Si 4.164 0.926 1.597
Si 5.549 4.164 1.597
Tc 1.009 4.246 0.000
Tc 2.228 1.009 0.000
Tc 4.246 5.466 0.000
Tc 5.466 2.228 0.000
```

crystal system: tetragonal
raw total energy: -73.2 eV for the cell shown
symmetry: P4/mbm (127)

(2)
# DyLuZn

A relaxed DyLuZn crystal (PBE, the Open Quantum Materials Database).

Cell and atoms, written as extended XYZ:
```
3
Lattice="0.000 3.453 3.453 3.453 0.000 3.453 3.453 3.453 0.000" Properties=species:S:1:pos:R:3 pbc="T T T"
Dy 0.000 0.000 0.000
Lu 3.453 3.453 3.453
Zn 1.726 1.726 1.726
```

crystal system: cubic
symmetry: F-43m (216)
calculated formation energy: 12 meV per atom

(3)
# PrNd2Si4Ni2Au2

A relaxed PrNd2Si4Ni2Au2 crystal (PBE, the Open Quantum Materials Database).

Cell and atoms, written as extended XYZ:
```
11
Lattice="-2.081 2.113 12.151 2.081 -2.113 12.151 2.081 2.113 -12.151" Properties=species:S:1:pos:R:3 pbc="T T T"
Pr 0.000 0.000 0.000
Nd 2.081 0.000 8.380
Nd 0.000 2.113 3.771
Si 2.081 0.000 4.988
Si 0.000 0.000 10.959
Si 0.000 0.000 13.343
Si 0.000 2.113 7.163
Ni 0.000 0.000 6.063
Ni 0.000 0.000 18.239
Au 2.081 0.000 2.466
Au 0.000 2.113 9.685
```

crystal system: orthorhombic
raw total energy: -62.5 eV for the cell shown
symmetry: Immm (71)

(4)
# BeSnMoW

A relaxed BeSnMoW crystal (PBE, the Open Quantum Materials Database).

Cell and atoms, written as extended XYZ:
```
4
Lattice="0.000 3.147 3.147 3.147 0.000 3.147 3.147 3.147 0.000" Properties=species:S:1:pos:R:3 pbc="T T T"
Be 0.000 0.000 0.000
Sn 1.573 1.573 1.573
Mo 3.147 3.147 3.147
W 4.720 4.720 4.720
```

crystal system: cubic
raw total energy: -30.0 eV for the cell shown
symmetry: F-43m (216)

(5)
# Pr5Er2ClO10

A relaxed Pr5Er2ClO10 crystal (PBE, the Open Quantum Materials Database).

Cell and atoms, written as extended XYZ:
```
18
Lattice="6.166 -2.981 0.000 6.166 2.981 0.000 -3.370 0.000 8.234" Properties=species:S:1:pos:R:3 pbc="T T T"
Pr 0.000 0.000 0.000
Pr 0.308 0.000 7.278
Pr 5.068 0.000 2.383
Pr 3.893 0.000 5.851
Pr 8.653 0.000 0.956
Er 1.053 0.000 3.500
Er 7.908 0.000 4.734
Cl -1.685 0.000 4.117
O 1.924 1.441 6.090
O 4.378 1.499 0.701
O 4.583 1.499 7.533
O 3.092 0.000 3.614
O 7.037 1.441 2.144
O 1.924 -1.441 6.090
O 5.869 0.000 4.620
O 4.378 -1.499 0.701
O 4.583 -1.499 7.533
O 7.037 -1.441 2.144
```

crystal system: monoclinic
raw total energy: -142.1 eV for the cell shown
symmetry: C2/m (12)

(6)
# Sm2Si3Ir

A relaxed Sm2Si3Ir crystal (PBE, the Open Quantum Materials Database).

Cell and atoms, written as extended XYZ:
```
12
Lattice="0.000 4.168 7.107 4.117 0.000 7.107 4.117 4.168 0.000" Properties=species:S:1:pos:R:3 pbc="T T T"
Sm 4.117 2.071 7.107
Sm 2.058 2.084 3.553
Sm 6.175 6.252 10.660
Sm 4.117 6.266 7.107
Si 6.175 4.168 5.915
Si 4.117 4.168 4.730
Si 6.175 4.168 8.298
Si 2.058 4.168 5.915
Si 4.117 4.168 9.483
Si 2.058 4.168 8.298
Ir 4.117 4.168 2.364
Ir 4.117 4.168 11.849
```

crystal system: orthorhombic
raw total energy: -80.0 eV for the cell shown
symmetry: Fmmm (69)